Compound: Bi2PdClO
Source: Alexandria via LeMat-Bulk
Functional: PBE
Structure: relaxed

- formation energy from raw total energies (eV per atom) = 0.4538
- total DFT energy (no corrections) (eV per atom) = -3.4981

a b c (Å): 5.308 5.308 4.751
angles (deg): 90.00 90.00 90.00
Space group P4/mmm (No. 123)
Inequivalent atoms, fractional coordinates:
Bi  0.000  0.500  0.000 [2 per cell]
Pd  0.000  0.000  0.000 [1 per cell]
Cl  0.000  0.000  0.500 [1 per cell]
O  0.500  0.500  0.500 [1 per cell]